[1]
DFT (PBE) results for an optimized crystal structure of Ho3Cu2Hg.

- ρ: 10.24 Mg/m³
- Energy relative to the elements: -0.32 eV/atom

Cell and atoms, written as extended XYZ:
```
6
Lattice="3.5125 0.0000 0.0000 0.0000 3.5125 0.0000 0.0000 0.0000 10.8078" Properties=species:S:1:pos:R:3 pbc="T T T"
Ho 0.0000 0.0000 0.0000
Ho 0.0000 0.0000 3.3860
Ho 0.0000 0.0000 7.4218
Cu 1.7563 1.7563 1.7154
Cu 1.7563 1.7563 9.0924
Hg 1.7563 1.7563 5.4039
```


[2]
DFT (PBE) results for an optimized crystal structure of BePF.

- E_form (uncorrected): -4.43 eV/f.u.
- ρ: 2.77 Mg/m³

Cell and atoms, written as extended XYZ:
```
12
Lattice="5.1228 0.0000 0.0000 0.0000 10.7200 0.0000 -2.4421 0.0000 2.5737" Properties=species:S:1:pos:R:3 pbc="T T T"
Be 0.0000 1.7495 0.0000
Be 0.0000 8.9705 0.0000
Be 2.5614 3.6105 0.0000
Be 2.5614 7.1094 0.0000
P -0.1042 5.3600 1.1932
P 0.2235 0.0000 1.3805
P 2.4572 0.0000 1.1932
P 2.7849 5.3600 1.3805
F 1.2807 2.6800 0.0000
F 1.2807 8.0400 0.0000
F 3.8421 2.6800 0.0000
F 3.8421 8.0400 0.0000
```


[3]
DFT (PBE) results for an optimized crystal structure of CsTm4S6.

- E_form (uncorrected): -20.97 eV/f.u.
- ρ: 6.10 Mg/m³

Cell and atoms, written as extended XYZ:
```
22
Lattice="1.9659 -6.5704 0.0000 1.9659 6.5704 0.0000 0.0000 0.0000 21.1071" Properties=species:S:1:pos:R:3 pbc="T T T"
Cs 1.9659 4.5667 15.8303
Cs 1.9659 -4.5667 5.2768
Tm 1.9659 5.2515 2.7771
Tm 1.9659 5.2515 7.7764
Tm 1.9659 1.7164 0.8157
Tm 1.9659 1.7164 9.7379
Tm 1.9659 -1.7164 11.3692
Tm 1.9659 -1.7164 20.2914
Tm 1.9659 -5.2515 13.3307
Tm 1.9659 -5.2515 18.3299
S 0.0000 0.0000 0.0000
S 0.0000 0.0000 10.5535
S 1.9659 4.7072 5.2768
S 1.9659 3.0270 12.2037
S 1.9659 3.0270 19.4569
S 1.9659 0.4081 3.0462
S 1.9659 0.4081 7.5073
S 1.9659 -0.4081 13.5998
S 1.9659 -0.4081 18.0608
S 1.9659 -3.0270 1.6502
S 1.9659 -3.0270 8.9034
S 1.9659 -4.7072 15.8303
```


[4]
DFT (PBE) results for an optimized crystal structure of LiPbIO2.

- E_form (uncorrected): -2.90 eV/f.u.
- ρ: 5.11 Mg/m³

Cell and atoms, written as extended XYZ:
```
5
Lattice="4.2361 0.0000 0.0000 0.0000 4.2361 0.0000 0.0000 0.0000 6.7566" Properties=species:S:1:pos:R:3 pbc="T T T"
Li 0.0000 0.0000 0.0000
Pb 2.1180 2.1180 3.3783
I 2.1180 2.1180 0.0000
O 0.0000 2.1180 3.3783
O 2.1180 0.0000 3.3783
```


[5]
DFT (PBE) results for an optimized crystal structure of Dy3TlCo2.

- ρ: 9.43 Mg/m³
- Energy relative to the elements: -0.21 eV/atom

Cell and atoms, written as extended XYZ:
```
12
Lattice="3.8159 0.0000 0.0000 0.0000 10.1797 0.0000 0.0000 0.0000 7.3431" Properties=species:S:1:pos:R:3 pbc="T T T"
Dy 0.0000 0.4611 0.0000
Dy 0.0000 9.7186 3.6715
Dy 1.9080 2.6767 2.8781
Dy 1.9080 3.3531 6.4799
Dy 1.9080 6.8266 2.8084
Dy 1.9080 7.5030 6.5496
Tl 0.0000 5.0130 4.5915
Tl 0.0000 5.1667 0.9200
Co 0.0000 2.1050 4.8638
Co 0.0000 8.0747 1.1922
Co 1.9080 0.8902 5.2188
Co 1.9080 9.2895 1.5473
```


[6]
DFT (PBE) results for an optimized crystal structure of NaAcSbAs.

- E_form (uncorrected): -2.37 eV/f.u.
- ρ: 6.37 Mg/m³

Cell and atoms, written as extended XYZ:
```
16
Lattice="7.7500 0.0000 0.0000 0.0000 7.7500 0.0000 0.0000 0.0000 7.7500" Properties=species:S:1:pos:R:3 pbc="T T T"
Na 0.0000 0.0000 0.0000
Na 0.0000 3.8750 3.8750
Na 3.8750 0.0000 3.8750
Na 3.8750 3.8750 0.0000
Ac 0.0000 0.0000 3.8750
Ac 0.0000 3.8750 0.0000
Ac 3.8750 0.0000 0.0000
Ac 3.8750 3.8750 3.8750
Sb 1.9375 1.9375 5.8125
Sb 1.9375 5.8125 1.9375
Sb 5.8125 1.9375 1.9375
Sb 5.8125 5.8125 5.8125
As 1.9375 1.9375 1.9375
As 1.9375 5.8125 5.8125
As 5.8125 1.9375 5.8125
As 5.8125 5.8125 1.9375
```


[7]
DFT (PBE) results for an optimized crystal structure of Pm2Ge3SbIr4.

- E_form (uncorrected): -7.15 eV/f.u.
- ρ: 12.03 Mg/m³

Cell and atoms, written as extended XYZ:
```
10
Lattice="4.3011 0.0000 0.0000 0.0000 4.3011 0.0000 0.0000 0.0000 10.4334" Properties=species:S:1:pos:R:3 pbc="T T T"
Pm 0.0000 2.1506 2.5471
Pm 2.1506 0.0000 7.8863
Ge 0.0000 2.1506 9.1002
Ge 2.1506 0.0000 1.3332
Ge 2.1506 2.1506 5.2167
Sb 0.0000 0.0000 5.2167
Ir 0.0000 0.0000 0.0000
Ir 0.0000 2.1506 6.6562
Ir 2.1506 0.0000 3.7771
Ir 2.1506 2.1506 0.0000
```


[8]
DFT (PBE) results for an optimized crystal structure of TaSi3I.

- E_form (uncorrected): 11.07 eV/f.u.
- ρ: 5.21 Mg/m³

Cell and atoms, written as extended XYZ:
```
5
Lattice="4.9987 0.0000 0.0000 0.0000 4.9987 0.0000 0.0000 0.0000 4.9987" Properties=species:S:1:pos:R:3 pbc="T T T"
Ta 0.0000 0.0000 0.0000
Si 0.0000 2.4994 2.4994
Si 2.4994 0.0000 2.4994
Si 2.4994 2.4994 0.0000
I 2.4994 2.4994 2.4994
```


[9]
DFT (PBE) results for an optimized crystal structure of ThScGa2Ni5.

- ρ: 8.46 Mg/m³
- Energy relative to the elements: -0.39 eV/atom

Cell and atoms, written as extended XYZ:
```
9
Lattice="3.9819 0.0000 0.0000 0.0000 3.9819 0.0000 0.0000 0.0000 8.7841" Properties=species:S:1:pos:R:3 pbc="T T T"
Th 0.0000 0.0000 0.0000
Sc 0.0000 0.0000 4.3920
Ga 1.9909 1.9909 3.1786
Ga 1.9909 1.9909 5.6055
Ni 0.0000 1.9909 1.9183
Ni 0.0000 1.9909 6.8658
Ni 1.9909 0.0000 1.9183
Ni 1.9909 0.0000 6.8658
Ni 1.9909 1.9909 0.0000
```


[10]
DFT (PBE) results for an optimized crystal structure of PmHoPbSe.

- E_form (uncorrected): -4.46 eV/f.u.
- ρ: 8.59 Mg/m³

Cell and atoms, written as extended XYZ:
```
4
Lattice="4.3539 0.0000 0.0000 0.0000 4.3539 0.0000 0.0000 0.0000 6.0811" Properties=species:S:1:pos:R:3 pbc="T T T"
Pm 0.0000 0.0000 0.0000
Ho 2.1770 2.1770 3.0405
Pb 2.1770 2.1770 0.0000
Se 0.0000 0.0000 3.0405
```


[11]
DFT (PBE) results for an optimized crystal structure of BaBi2O4.

- E_form (uncorrected): -11.16 eV/f.u.
- ρ: 7.82 Mg/m³

Cell and atoms, written as extended XYZ:
```
14
Lattice="-3.9378 3.9378 4.2388 3.9378 -3.9378 4.2388 3.9378 3.9378 -4.2388" Properties=species:S:1:pos:R:3 pbc="T T T"
Ba 0.0000 0.0000 0.0000
Ba 0.0000 3.9378 2.1194
Bi 1.9689 3.7805 -1.0597
Bi 4.0951 1.9689 1.0597
Bi 1.9689 0.1573 3.1791
Bi -0.1573 1.9689 5.2985
O 5.3649 -0.4395 0.7928
O 2.5107 0.4395 0.7928
O 4.3773 2.5107 -1.3266
O 3.4983 -1.4271 3.4461
O -0.4395 1.4271 2.9122
O 4.3773 1.4271 3.4461
O 2.5107 3.4983 1.3266
O 1.4271 0.4395 5.5655
```


[12]
DFT (PBE) results for an optimized crystal structure of NbCoSN2.

- E_form (uncorrected): 3.67 eV/f.u.
- ρ: 6.00 Mg/m³

Cell and atoms, written as extended XYZ:
```
5
Lattice="3.6815 0.0000 0.0000 0.0000 3.6815 0.0000 0.0000 0.0000 4.3266" Properties=species:S:1:pos:R:3 pbc="T T T"
Nb 0.0000 0.0000 0.0000
Co 1.8407 1.8407 2.1633
S 1.8407 1.8407 0.0000
N 0.0000 1.8407 2.1633
N 1.8407 0.0000 2.1633
```